(1)
This record from the Alexandria database describes an optimized crystal structure of LiTb4Au2. The functional is PBE.

Lattice parameters (Å, degrees): 5.027 5.027 9.115 73.99 73.99 60.00
Element x y z (fractional)
Li 0.500 0.500 0.500
Tb 0.709 0.709 0.873
Tb 0.879 0.879 0.363
Tb 0.291 0.291 0.127
Tb 0.121 0.121 0.637
Au 0.595 0.595 0.215
Au 0.405 0.405 0.785

Calculated values
Space group: No. 166
Crystal system: trigonal

(2)
This record from the Alexandria database describes an optimized crystal structure of Nd2Ho7Er3. The functional is PBE.

Lattice parameters (Å, degrees): 3.596 5.663 19.009 98.57 90.00 90.00
Element x y z (fractional)
Nd 0.000 0.853 0.706
Nd 0.000 0.147 0.294
Ho 0.000 0.411 0.822
Ho 0.000 0.769 0.539
Ho 0.000 0.000 0.000
Ho 0.000 0.589 0.178
Ho 0.500 0.071 0.141
Ho 0.500 0.929 0.859
Ho 0.000 0.231 0.461
Er 0.500 0.500 0.000
Er 0.500 0.686 0.372
Er 0.500 0.314 0.628

Calculated values
Space group: No. 65
Crystal system: orthorhombic
ΔE to the lowest computed polymorph, eV per formula unit: 0.44

| no. | theoretical density (g/cm3) | D(E_F) (states/eV/cell) | E (eV/atom) |
| --- | --- | --- | --- |
| 1 | 9.1 | 5.12 | -4.22 |
| 2 | 8.4 | 17.64 | -4.49 |